Below is MgTiNiPb2 after structural relaxation, with properties calculated at the PBE level.

Cell lengths 5.302, 5.302, 4.432 Å; angles 90.00, 90.00, 90.00 degrees
Space group P4/mmm (No. 123)
One atom of each set of equivalent atoms:
Mg (0.000, 0.000, 0.000) x1
Ti (0.500, 0.500, 0.500) x1
Ni (0.000, 0.000, 0.500) x1
Pb (0.000, 0.500, 0.000) x2

## Properties
DOS at the Fermi energy	5.48	states/eV per cell
DFT formation energy	0.949	eV/atom
energy	-0.264	Ry/atom